# VCd2IrO6 | Alexandria via LeMat-Bulk | PBE+U | relaxed
# total DFT energy (no corrections)	-5.74	eV/atom
# ρ	7.66	g/cm³
data_VCd2IrO6
_chemical_formula_sum 'V1 Cd2 Ir1 O6'
_symmetry_space_group_name_H-M 'P 1'
_symmetry_Int_Tables_number 1
_symmetry_space_group_name_Hall 'P 1'
_cell_length_a 5.4274
_cell_length_b 5.4274
_cell_length_c 4.1496
_cell_angle_alpha 90.00
_cell_angle_beta 90.00
_cell_angle_gamma 90.00
loop_
_atom_site_label
_atom_site_type_symbol
_atom_site_fract_x
_atom_site_fract_y
_atom_site_fract_z
V1 V 0.0000 0.0000 0.0000
Cd1 Cd 0.0000 0.5000 0.4693
Cd2 Cd 0.5000 0.0000 0.4693
Ir1 Ir 0.5000 0.5000 0.0553
O1 O 0.0000 0.0000 0.5815
O2 O 0.2415 0.2415 0.0805
O3 O 0.2415 0.7585 0.0805
O4 O 0.5000 0.5000 0.5542
O5 O 0.7585 0.2415 0.0805
O6 O 0.7585 0.7585 0.0805



# V2CdIrO8 | Alexandria via LeMat-Bulk | PBE+U | relaxed
# total DFT energy (no corrections)	-6.70	eV/atom
# ρ	5.18	g/cm³
data_V2CdIrO8
_chemical_formula_sum 'V2 Cd1 Ir1 O8'
_symmetry_space_group_name_H-M 'P 1'
_symmetry_Int_Tables_number 1
_symmetry_space_group_name_Hall 'P 1'
_cell_length_a 5.6178
_cell_length_b 5.6178
_cell_length_c 6.2735
_cell_angle_alpha 90.00
_cell_angle_beta 90.00
_cell_angle_gamma 120.00
loop_
_atom_site_label
_atom_site_type_symbol
_atom_site_fract_x
_atom_site_fract_y
_atom_site_fract_z
V1 V 0.3333 0.6667 0.2183
V2 V 0.6667 0.3333 0.7817
Cd1 Cd 0.0000 0.0000 0.0000
Ir1 Ir 0.0000 0.0000 0.5000
O1 O 0.1566 0.3131 0.2982
O2 O 0.1566 0.8434 0.2982
O3 O 0.3131 0.1566 0.7018
O4 O 0.3333 0.6667 0.9562
O5 O 0.6667 0.3333 0.0438
O6 O 0.6869 0.8434 0.2982
O7 O 0.8434 0.1566 0.7018
O8 O 0.8434 0.6869 0.7018